1.
{"formula": "Sm2UGe3Ir4", "functional": "PBE", "state": "optimized geometry", "lattice_angstrom": [[-1.102, -2.417, 3.299], [4.083, -0.844, 0.745], [0.603, 8.766, 6.623]], "species": ["Sm", "Sm", "U", "Ge", "Ge", "Ge", "Ir", "Ir", "Ir", "Ir"], "frac_coords": [[0.500, 0.000, 0.226], [0.000, 0.500, 0.774], [0.500, 0.500, 0.500], [0.000, 0.000, 0.500], [0.500, 0.000, 0.876], [0.000, 0.500, 0.124], [0.500, 0.500, 0.000], [0.000, 0.000, 0.000], [0.500, 0.000, 0.651], [0.000, 0.500, 0.349]], "m_tot_mub_per_cell": 1.90, "e_form_mev_per_atom": -703, "spacegroup": "P-4m2 (115)", "crystal_system": "tetragonal"}



2.
{"formula": "Ac2HoPdS5", "functional": "PBE", "state": "optimized geometry", "lattice_angstrom": [[4.013, 0.000, 0.000], [-2.007, 8.523, 0.000], [0.000, 0.000, 12.415]], "species": ["Ac", "Ac", "Ac", "Ac", "Ho", "Ho", "Pd", "Pd", "S", "S", "S", "S", "S", "S", "S", "S", "S", "S"], "frac_coords": [[0.884, 0.769, 0.843], [0.125, 0.250, 0.696], [0.116, 0.231, 0.343], [0.875, 0.750, 0.196], [0.822, 0.643, 0.522], [0.178, 0.357, 0.022], [0.551, 0.102, 0.928], [0.449, 0.898, 0.428], [0.339, 0.678, 0.019], [0.695, 0.391, 0.867], [0.500, 0.999, 0.748], [0.307, 0.614, 0.676], [0.982, 0.964, 0.525], [0.661, 0.322, 0.519], [0.305, 0.609, 0.367], [0.500, 0.001, 0.248], [0.693, 0.386, 0.176], [0.018, 0.036, 0.025]], "m_tot_mub_per_cell": 0.00, "spacegroup": "Cmc2_1 (36)", "energy_ry_per_atom": -0.44724, "crystal_system": "orthorhombic"}



3.
{"formula": "ReNi", "functional": "PBE", "state": "optimized geometry", "lattice_angstrom": [[4.418, -2.230, 0.226], [4.663, 0.017, 1.672], [-0.157, -3.410, 5.327]], "species": ["Re", "Re", "Re", "Ni", "Ni", "Ni"], "frac_coords": [[0.324, 0.324, 0.335], [0.954, 0.954, 0.607], [0.280, 0.280, 0.948], [0.001, 0.001, 0.005], [0.606, 0.606, 0.268], [0.668, 0.668, 0.670]], "m_tot_mub_per_cell": 0.00, "e_form_mev_per_atom": 52, "spacegroup": "Cm (8)", "crystal_system": "monoclinic"}



4.
{"formula": "Rb4Nd3MnS8", "functional": "PBE", "state": "optimized geometry", "lattice_angstrom": [[8.140, 0.000, 0.000], [0.000, 9.029, 0.520], [-4.070, -4.141, 5.973]], "species": ["Rb", "Rb", "Rb", "Rb", "Nd", "Nd", "Nd", "Mn", "S", "S", "S", "S", "S", "S", "S", "S"], "frac_coords": [[0.500, 0.000, 0.000], [0.500, 0.000, 0.500], [0.000, 0.000, 0.000], [0.000, 0.000, 0.500], [0.500, 0.500, 0.000], [0.500, 0.500, 0.500], [0.000, 0.500, 0.500], [0.000, 0.500, 0.000], [0.201, 0.676, 0.969], [0.248, 0.713, 0.496], [0.270, 0.300, 0.541], [0.767, 0.676, 0.969], [0.233, 0.324, 0.031], [0.730, 0.700, 0.459], [0.752, 0.287, 0.504], [0.799, 0.324, 0.031]], "m_tot_mub_per_cell": 3.98, "spacegroup": "C2/m (12)", "energy_ry_per_atom": -0.38777, "crystal_system": "monoclinic"}